Material: Rb2PdBr6O
Method: DFT, PBE-GGA
State: relaxed

Summary:
M_tot = 0.81 μB/f.u.
total DFT energy (no corrections) = -28.85 eV for the cell shown
E_form (uncorrected) = -6.72 eV/f.u.

Cell: 8.090 8.090 7.433 Å, 57.03 57.03 90.00°
Fractional coordinates of all 10 atoms:
Br 0.282 0.282 0.436
Br 0.218 0.782 0.000
Br 0.218 0.218 0.000
Rb 0.750 0.250 0.500
Rb 0.250 0.750 0.500
O 0.500 0.500 0.000
Br 0.782 0.218 0.000
Pd 0.000 0.000 0.000
Br 0.782 0.782 0.000
Br 0.718 0.718 0.564

***

Material: Rb5PdBrO2
Method: DFT, PBE-GGA
State: relaxed

Summary:
M_tot = 0.00 μB/f.u.
total DFT energy (no corrections) = -30.59 eV for the cell shown
E_form (uncorrected) = -8.97 eV/f.u.

Cell: 5.635 5.635 9.557 Å, 90.00 90.00 90.00°
Fractional coordinates of all 9 atoms:
Br 0.500 0.500 0.500
Rb 0.500 0.000 0.789
Rb 0.500 0.000 0.211
Rb 0.000 0.500 0.211
Rb 0.000 0.500 0.789
Pd 0.000 0.000 0.000
O 0.000 0.000 0.781
Rb 0.000 0.000 0.500
O 0.000 0.000 0.219

***

Material: RbPdBr2O
Method: DFT, PBE-GGA
State: relaxed

Summary:
M_tot = 1.22 μB/f.u.
total DFT energy (no corrections) = -18.06 eV for the cell shown
E_form (uncorrected) = -3.60 eV/f.u.

Cell: 5.576 5.576 3.940 Å, 90.00 90.00 90.00°
Fractional coordinates of all 5 atoms:
Rb 0.500 0.500 0.500
Br 0.500 0.000 0.000
Pd 0.000 0.000 0.000
O 0.000 0.000 0.500
Br 0.000 0.500 0.000

***

Material: PdSe2BrO
Method: DFT, PBE-GGA
State: relaxed

Summary:
M_tot = 1.10 μB/f.u.
total DFT energy (no corrections) = -13.87 eV for the cell shown
E_form (uncorrected) = 4.92 eV/f.u.
distance to the lowest polymorph of the same formula = 2.512 eV/f.u.

Cell: 4.912 4.912 5.065 Å, 90.00 90.00 90.00°
Fractional coordinates of all 5 atoms:
O 0.500 0.500 0.500
Se 0.000 0.500 0.000
Se 0.500 0.000 0.000
Pd 0.000 0.000 0.000
Br 0.000 0.000 0.500

***

Material: PdSe2BrO
Method: DFT, PBE-GGA
State: relaxed

Summary:
M_tot = 0.08 μB/f.u.
total DFT energy (no corrections) = -16.39 eV for the cell shown
E_form (uncorrected) = 2.41 eV/f.u.
distance to the lowest polymorph of the same formula = 0.000 eV/f.u.

Cell: 4.058 6.628 4.058 Å, 90.00 90.00 90.00°
Fractional coordinates of all 5 atoms:
Se 0.000 0.000 0.500
O 0.000 0.000 0.000
Br 0.000 0.500 0.000
Pd 0.500 0.500 0.500
Se 0.500 0.000 0.000

***

Material: PdSe2BrO
Method: DFT, PBE-GGA
State: relaxed

Summary:
M_tot = 0.01 μB/f.u.
total DFT energy (no corrections) = -15.39 eV for the cell shown
E_form (uncorrected) = 3.40 eV/f.u.
distance to the lowest polymorph of the same formula = 0.992 eV/f.u.

Cell: 4.427 4.427 4.794 Å, 90.00 90.00 90.00°
Fractional coordinates of all 5 atoms:
O 0.000 0.000 0.000
Pd 0.500 0.500 0.500
Br 0.000 0.000 0.500
Se 0.000 0.500 0.000
Se 0.500 0.000 0.000

***

Material: Pm2BrO2
Method: DFT, PBE-GGA
State: relaxed

Summary:
M_tot = 0.00 μB/f.u.
total DFT energy (no corrections) = -68.74 eV for the cell shown
E_form (uncorrected) = -13.28 eV/f.u.
distance to the lowest polymorph of the same formula = 0.000 eV/f.u.

Cell: 4.821 6.358 8.208 Å, 106.46 90.00 112.28°
Fractional coordinates of all 10 atoms:
Br 0.335 0.669 0.884
Pm 0.541 0.081 0.729
O 0.638 0.276 0.515
O 0.362 0.724 0.485
Br 0.665 0.331 0.116
O 0.968 0.937 0.306
Pm 0.459 0.919 0.271
Pm 0.153 0.306 0.514
O 0.032 0.063 0.694
Pm 0.847 0.694 0.486

***

Material: PmBrO
Method: DFT, PBE-GGA
State: relaxed

Summary:
M_tot = 0.00 μB/f.u.
total DFT energy (no corrections) = -19.41 eV for the cell shown
E_form (uncorrected) = -8.03 eV/f.u.

Cell: 4.885 3.911 3.911 Å, 120.00 90.00 90.00°
Fractional coordinates of all 3 atoms:
O 0.167 0.333 0.667
Pm 0.167 0.000 0.000
Br 0.667 0.667 0.333